Pr8SiS3Cl4 | GGA-PBE | optimized geometry

extended XYZ file:
```
16
Lattice="-3.334 -7.128 -2.701 4.741 -4.307 5.514 -4.924 6.121 2.739" Properties=species:S:1:pos:R:3 pbc="T T T"
Pr -2.211 1.168 5.964
Pr 0.224 -1.853 4.614
Pr -2.096 0.095 2.337
Pr -3.855 -2.346 4.632
Pr 0.337 -2.968 0.920
Pr -1.422 -5.409 3.216
Pr -3.742 -3.461 0.939
Pr -1.307 -6.482 -0.411
Si 2.370 -2.154 2.757
S 0.703 -5.718 1.407
S -1.759 -2.657 2.776
S -0.092 0.907 4.127
Cl -1.667 -3.564 -1.351
Cl -4.129 -0.503 0.019
Cl 0.000 0.000 0.000
Cl -2.462 3.061 1.370
```

Values from the calculation:
**V**: 26.1 A^3/atom
**Magnetization**: 0.00 Bohr magnetons per cell
**Space-group type**: R-3m (166)
**Formation energy from raw total energies**: -1.609 eV/atom